The following is a GGA-PBE calculation of crystalline BeTe2Ru at its relaxed geometry, from Alexandria.

The structure in extended XYZ format:
```
4
Lattice="3.290 0.001 0.000 0.000 3.290 0.000 0.000 0.000 6.831" Properties=species:S:1:pos:R:3 pbc="T T T"
Ru 1.645 1.645 5.123
Te 0.000 0.000 6.812
Te 0.000 0.000 3.434
Be 1.645 1.645 1.708
```

Summary:
* ρ: 8.2 Mg/m³
* formation energy without anion corrections: 0.520 eV/atom
* DOS at the Fermi energy: 0.523 states/eV/atom
* calculated volume: 18.48 Å³/atom
* E: -4.30 eV/atom


The following is a GGA-PBE calculation of crystalline Be3TeRu at its relaxed geometry, from Alexandria.

The structure in extended XYZ format:
```
5
Lattice="-1.472 -3.035 2.626 3.598 0.242 2.296 -1.779 3.001 2.471" Properties=species:S:1:pos:R:3 pbc="T T T"
Ru 0.000 0.000 0.000
Te 0.173 0.103 3.697
Be 1.799 0.121 1.148
Be -0.889 1.500 1.236
Be -0.736 -1.518 1.313
```

Summary:
* ρ: 5.4 Mg/m³
* formation energy without anion corrections: 0.649 eV/atom
* DOS at the Fermi energy: 0.219 states/eV/atom
* calculated volume: 15.62 Å³/atom
* E: -4.07 eV/atom


The following is a GGA-PBE calculation of crystalline BeTe2Ru at its relaxed geometry, from Alexandria.

The structure in extended XYZ format:
```
4
Lattice="3.473 0.000 0.000 0.000 4.971 -0.032 0.000 1.449 4.768" Properties=species:S:1:pos:R:3 pbc="T T T"
Ru 1.737 4.815 3.552
Te 0.000 4.969 -0.032
Te 0.000 3.212 2.368
Be 1.737 1.605 1.184
```

Summary:
* ρ: 7.4 Mg/m³
* formation energy without anion corrections: 0.539 eV/atom
* DOS at the Fermi energy: 0.821 states/eV/atom
* calculated volume: 20.62 Å³/atom
* E: -4.28 eV/atom


The following is a GGA-PBE calculation of crystalline BeTeRu3 at its relaxed geometry, from Alexandria.

The structure in extended XYZ format:
```
5
Lattice="-1.772 4.383 0.628 -4.409 -1.809 0.182 0.406 -0.513 4.724" Properties=species:S:1:pos:R:3 pbc="T T T"
Ru -2.205 -0.904 0.091
Ru 0.203 -0.257 2.362
Ru -0.886 2.192 0.314
Te 0.000 0.000 0.000
Be -2.888 1.031 2.767
```

Summary:
* ρ: 6.7 Mg/m³
* formation energy without anion corrections: 1.799 eV/atom
* relative energy among the computed polymorphs: 1352 meV per atom
* DOS at the Fermi energy: 1.353 states/eV/atom
* calculated volume: 21.70 Å³/atom
* E: -5.14 eV/atom


The following is a GGA-PBE calculation of crystalline BeTe2Ru at its relaxed geometry, from Alexandria.

The structure in extended XYZ format:
```
4
Lattice="-2.833 4.673 3.822 -2.731 -0.275 6.078 5.038 -0.832 -4.289" Properties=species:S:1:pos:R:3 pbc="T T T"
Ru -0.204 0.520 3.311
Te -0.328 0.259 0.583
Te -0.529 3.210 2.669
Be -2.246 1.776 3.997
```

Summary:
* ρ: 7.2 Mg/m³
* formation energy without anion corrections: 0.420 eV/atom
* DOS at the Fermi energy: 0.764 states/eV/atom
* calculated volume: 21.17 Å³/atom
* E: -4.40 eV/atom


The following is a GGA-PBE calculation of crystalline BeTe2Ru at its relaxed geometry, from Alexandria.

The structure in extended XYZ format:
```
4
Lattice="-4.203 -0.351 0.407 -2.274 -0.862 3.470 -1.599 5.953 2.000" Properties=species:S:1:pos:R:3 pbc="T T T"
Ru -5.934 2.942 4.228
Te -1.519 5.241 1.831
Te -2.278 1.806 1.736
Be -3.981 3.074 3.020
```

Summary:
* ρ: 6.9 Mg/m³
* formation energy without anion corrections: -0.061 eV/atom
* DOS at the Fermi energy: 0.586 states/eV/atom
* calculated volume: 22.08 Å³/atom
* E: -4.88 eV/atom


The following is a GGA-PBE calculation of crystalline BeTe2Ru at its relaxed geometry, from Alexandria.

The structure in extended XYZ format:
```
8
Lattice="5.936 0.000 0.000 0.000 5.936 0.000 2.968 2.968 5.449" Properties=species:S:1:pos:R:3 pbc="T T T"
Ru 0.000 0.000 0.000
Ru 5.936 2.968 2.724
Te 4.334 1.484 1.362
Te 1.602 4.452 1.362
Te 4.452 4.570 4.087
Te 7.420 7.302 4.087
Be 2.968 2.968 0.000
Be 2.968 5.936 2.724
```

Summary:
* ρ: 6.3 Mg/m³
* formation energy without anion corrections: 0.132 eV/atom
* DOS at the Fermi energy: 0.339 states/eV/atom
* calculated volume: 24.00 Å³/atom
* E: -4.69 eV/atom


The following is a GGA-PBE calculation of crystalline BeTe3Ru at its relaxed geometry, from Alexandria.

The structure in extended XYZ format:
```
5
Lattice="-0.653 -2.227 -4.206 -2.023 -3.713 2.280 -4.308 2.082 -0.433" Properties=species:S:1:pos:R:3 pbc="T T T"
Ru -3.492 -1.929 -1.180
Te -1.012 -1.856 1.140
Te -2.154 1.041 -0.216
Te -0.327 -1.113 -2.103
Be 0.000 0.000 0.000
```

Summary:
* ρ: 7.4 Mg/m³
* formation energy without anion corrections: 0.923 eV/atom
* relative energy among the computed polymorphs: 0 meV per atom
* DOS at the Fermi energy: 0.684 states/eV/atom
* calculated volume: 22.17 Å³/atom
* E: -3.56 eV/atom